(1)
The following is a DFT calculation (GGA-PBE) of a relaxed SiRhO2 crystal.

Calculated values
Total energy (eV per cell): -107.953
Crystal system: tetragonal
Raw formation energy (kcal/mol of atoms): -24.8

Lattice parameters (Å, degrees): 4.9840 4.9840 7.8192 90.00 90.00 90.00
Closest atoms and distances in Å follow each position.
Space group I-42d (No. 122)
One atom of each set of equivalent atoms:
Si 0.0000 0.0000 0.0000 [4 per cell]  4 O 1.64
Rh 0.0000 0.0000 0.5000 [4 per cell]  4 O 2.59
O 0.0881 0.2500 0.1250 [8 per cell]  2 Si 1.64



(2)
The following is a DFT calculation (GGA-PBE) of a relaxed Si2AgPt crystal.

Calculated values
Total energy (eV per cell): -59.675
Polymorph energy (0 for the lowest one) (eV per atom): 0.0858
Crystal system: trigonal
Raw formation energy (kcal/mol of atoms): -0.9

Lattice parameters (Å, degrees): 3.0259 3.0259 24.1579 90.00 90.00 120.00
Closest atoms and distances in Å follow each position.
Space group R-3m (No. 166, hexagonal axes)
One atom of each set of equivalent atoms:
Si 0.0000 0.0000 0.2439 [6 per cell]  3 Pt 2.56, 3 Ag 2.78
Ag 0.0000 0.0000 0.0000 [3 per cell]  6 Si 2.78, 6 Ag 3.03
Pt 0.0000 0.0000 0.5000 [3 per cell]  6 Si 2.56



(3)
The following is a DFT calculation (GGA-PBE) of a relaxed ScFe2Os crystal.

Calculated values
Formation energy from the elements (meV per atom): 6.8
Total energy (eV per cell): -68.919
Polymorph energy (0 for the lowest one) (eV per atom): 0.0141
Crystal system: monoclinic

Lattice parameters (Å, degrees): 9.7291 3.0115 4.3162 90.00 116.26 90.00
Closest atoms and distances in Å follow each position.
Space group Cm (No. 8)
One atom of each set of equivalent atoms:
Sc 0.0000 0.0000 0.0000 [2 per cell]  6 Fe 2.63-2.77, 2 Os 2.78
Fe 0.2659 0.5000 0.2657 [2 per cell]  2 Fe 2.50, 4 Os 2.65, 2 Sc 2.77
Fe 0.4946 0.0000 0.4947 [2 per cell]  2 Fe 2.50, 2 Os 2.56, 4 Sc 2.63
Os 0.2316 0.0000 0.7311 [2 per cell]  6 Fe 2.56-2.65, 2 Sc 2.78



(4)
The following is a DFT calculation (GGA-PBE) of a relaxed Dy4InRh crystal.

Calculated values
Formation energy from the elements (meV per atom): -477.5
Total energy (eV per cell): -125.452
Polymorph energy (0 for the lowest one) (eV per atom): 0.0807
Crystal system: monoclinic

Lattice parameters (Å, degrees): 8.7796 13.0372 6.0521 90.00 107.58 90.00
Closest atoms and distances in Å follow each position.
Space group C2/c (No. 15)
One atom of each set of equivalent atoms:
Dy 0.1103 0.1702 0.0502 [8 per cell]  2 Rh 2.84
Dy 0.2151 0.4211 0.3869 [8 per cell]  2 Rh 2.97-3.04, 1 In 3.20
In 0.0000 0.3767 0.7500 [4 per cell]  8 Dy 3.20-3.35
Rh 0.0000 0.9996 0.2500 [4 per cell]  8 Dy 2.84-3.04, 2 Rh 3.03



(5)
The following is a DFT calculation (GGA-PBE) of a relaxed NaCdHgSb2 crystal.

Calculated values
Total energy (eV per cell): -9.476
Crystal system: tetragonal
Raw formation energy (kcal/mol of atoms): 6.0

Lattice parameters (Å, degrees): 5.5955 5.5955 5.6793 90.00 90.00 90.00
Closest atoms and distances in Å follow each position.
Space group P4/mmm (No. 123)
One atom of each set of equivalent atoms:
Na 0.0000 0.0000 0.0000 [1 per cell]  4 Hg 3.96, 8 Sb 3.99
Cd 0.5000 0.5000 0.5000 [1 per cell]  4 Sb 2.80, 2 Hg 2.84
Hg 0.5000 0.5000 0.0000 [1 per cell]  2 Cd 2.84
Sb 0.0000 0.5000 0.5000 [2 per cell]  2 Cd 2.80



(6)
The following is a DFT calculation (GGA-PBE) of a relaxed Nd2DyYEr5 crystal.

Calculated values
Formation energy from the elements (meV per atom): 268.6
Total energy (eV per cell): -163.995
Crystal system: tetragonal

Lattice parameters (Å, degrees): 8.6027 8.6027 15.6008 90.00 90.00 90.00
Closest atoms and distances in Å follow each position.
Space group I4/mcm (No. 140)
One atom of each set of equivalent atoms:
Nd 0.1178 0.3822 0.0000 [8 per cell]  1 Nd 2.87, 2 Er 3.01
Dy 0.0000 0.5000 0.2500 [4 per cell]  4 Er 3.10
Y 0.0000 0.0000 0.2500 [4 per cell]  10 Er 3.52-3.90
Er 0.0000 0.0000 0.0000 [4 per cell]  4 Nd 3.44, 8 Er 3.77
Er 0.2121 0.2879 0.3601 [16 per cell]  1 Nd 3.01, 1 Dy 3.10



- total energy of number 4 (Dy4InRh)?
  -125.452 eV per cell



Copy entry 3 word for word.
The following is a DFT calculation (GGA-PBE) of a relaxed ScFe2Os crystal.

Calculated values
Formation energy from the elements (meV per atom): 6.8
Total energy (eV per cell): -68.919
Polymorph energy (0 for the lowest one) (eV per atom): 0.0141
Crystal system: monoclinic

Lattice parameters (Å, degrees): 9.7291 3.0115 4.3162 90.00 116.26 90.00
Closest atoms and distances in Å follow each position.
Space group Cm (No. 8)
One atom of each set of equivalent atoms:
Sc 0.0000 0.0000 0.0000 [2 per cell]  6 Fe 2.63-2.77, 2 Os 2.78
Fe 0.2659 0.5000 0.2657 [2 per cell]  2 Fe 2.50, 4 Os 2.65, 2 Sc 2.77
Fe 0.4946 0.0000 0.4947 [2 per cell]  2 Fe 2.50, 2 Os 2.56, 4 Sc 2.63
Os 0.2316 0.0000 0.7311 [2 per cell]  6 Fe 2.56-2.65, 2 Sc 2.78